No. 1
Material: Na2La2Br7
Method: DFT, PBE-GGA
State: relaxed

Values from the calculation:
Formation energy without anion corrections ... -1681 meV/atom
ΔE to the lowest computed polymorph ... 0.0088 eV per atom
DFT total energy ... -42.689 eV per cell

abc: 7.920 7.885 7.885
angles: 110.13 93.80 93.80
Each line ends with the local moment (μB).
Fractional positions:
Na: 0.500 0.299 0.701  0.00
Na: 0.500 0.701 0.299  0.00
La: 0.896 0.302 0.302  0.36
La: 0.104 0.698 0.698  0.36
Br: 0.276 0.944 0.552  0.00
Br: 0.724 0.448 0.056  0.00
Br: 0.724 0.056 0.448  0.00
Br: 0.276 0.552 0.944  0.00
Br: 0.000 0.000 0.000  0.00
Br: 0.733 0.591 0.591  0.00
Br: 0.267 0.409 0.409  0.00

---

No. 2
Material: NdYMgAg
Method: DFT, PBE-GGA
State: relaxed

Values from the calculation:
ΔE to the lowest computed polymorph ... 0.0000 eV per atom
DFT total energy ... -16.442 eV per cell
Energy relative to the elements ... -18.42 kJ/mol of atoms

abc: 3.786 3.786 7.433
angles: 90.00 90.00 90.00
Fractional positions:
Nd: 0.000 0.000 0.863
Y: 0.000 0.000 0.347
Mg: 0.500 0.500 0.596
Ag: 0.500 0.500 0.122

---

No. 3
Material: TbPu3Te4
Method: DFT, PBE-GGA
State: relaxed

Values from the calculation:
Formation energy without anion corrections ... -1140 meV/atom
DFT total energy ... -69.314 eV per cell

abc: 4.420 7.659 7.659
angles: 109.68 90.00 90.00
Each line ends with the local moment (μB).
Fractional positions:
Tb: 0.500 0.000 0.000  -0.05
Pu: 0.000 0.000 0.500  -5.49
Pu: 0.500 0.500 0.500  5.49
Pu: 0.000 0.500 0.000  -5.49
Te: 0.000 0.248 0.248  0.00
Te: 0.500 0.752 0.248  0.05
Te: 0.000 0.752 0.752  0.00
Te: 0.500 0.248 0.752  0.05

---

No. 4
Material: PmHo2Rh
Method: DFT, PBE-GGA
State: relaxed

Values from the calculation:
ΔE to the lowest computed polymorph ... 0.3369 eV per atom
DFT total energy ... -21.954 eV per cell
Energy relative to the elements ... -16.81 kJ/mol of atoms

abc: 4.649 4.649 6.449
angles: 68.87 68.87 60.00
Fractional positions:
Rh: 0.500 0.500 0.500
Ho: 0.781 0.781 0.658
Ho: 0.219 0.219 0.342
Pm: 0.000 0.000 0.000

---

No. 5
Material: NaTi3As
Method: DFT, PBE-GGA
State: relaxed

Values from the calculation:
ΔE to the lowest computed polymorph ... 1.0884 eV per atom
DFT total energy ... -22.518 eV per cell
Energy relative to the elements ... 137.69 kJ/mol of atoms

abc: 4.634 4.634 4.634
angles: 90.00 90.00 90.00
Each line ends with the local moment (μB).
Fractional positions:
Na: 0.000 0.000 0.000  0.01
As: 0.500 0.500 0.500  -0.04
Ti: 0.000 0.500 0.000  0.39
Ti: 0.000 0.000 0.500  0.45
Ti: 0.500 0.000 0.000  0.58

---

No. 6
Material: TmPaSiTc
Method: DFT, PBE-GGA
State: relaxed

Values from the calculation:
Formation energy without anion corrections ... -164 meV/atom
DFT total energy ... -30.413 eV per cell

abc: 4.879 4.879 4.879
angles: 60.00 60.00 60.00
Fractional positions:
Si: 0.250 0.250 0.250
Pa: 0.500 0.500 0.500
Tm: 0.000 0.000 0.000
Tc: 0.750 0.750 0.750

---

No. 7
Material: Tb6TlAg
Method: DFT, PBE-GGA
State: relaxed

Values from the calculation:
DFT total energy ... -34.192 eV per cell
Energy relative to the elements ... -14.39 kJ/mol of atoms

abc: 5.095 5.095 9.689
angles: 74.78 74.78 89.99
Fractional positions:
Tb: 0.750 0.750 0.501
Tb: 0.612 0.112 0.776
Tb: 0.112 0.612 0.776
Tb: 0.388 0.888 0.224
Tb: 0.250 0.250 0.499
Tb: 0.888 0.388 0.224
Tl: 0.500 0.500 0.000
Ag: 0.000 0.000 0.000

---

No. 8
Material: HfAg2I
Method: DFT, PBE-GGA
State: relaxed

Values from the calculation:
Formation energy without anion corrections ... 180 meV/atom
ΔE to the lowest computed polymorph ... 0.2486 eV per atom
DFT total energy ... -16.485 eV per cell

abc: 4.020 3.591 7.259
angles: 90.00 105.66 90.00
Fractional positions:
I: 0.460 0.000 0.452
Hf: 0.067 0.500 0.674
Ag: 0.704 0.500 0.953
Ag: 0.231 0.000 0.009

---

No. 9
Material: Ba2PaAgS5
Method: DFT, PBE-GGA
State: relaxed

Values from the calculation:
Formation energy without anion corrections ... -1598 meV/atom
DFT total energy ... -102.418 eV per cell

abc: 4.211 9.327 12.953
angles: 90.00 90.00 103.05
Fractional positions:
Ba: 0.880 0.760 0.815
Ba: 0.104 0.207 0.685
Ba: 0.120 0.240 0.315
Ba: 0.896 0.793 0.185
Pa: 0.794 0.589 0.517
Pa: 0.206 0.411 0.017
Ag: 0.562 0.124 0.943
Ag: 0.438 0.876 0.443
S: 0.349 0.697 0.005
S: 0.703 0.405 0.881
S: 0.498 0.997 0.774
S: 0.284 0.568 0.651
S: 0.933 0.866 0.554
S: 0.651 0.303 0.505
S: 0.297 0.595 0.381
S: 0.502 0.003 0.274
S: 0.716 0.432 0.151
S: 0.067 0.134 0.054

---

No. 10
Material: TcAg2Cl6
Method: DFT, PBE-GGA
State: relaxed

Values from the calculation:
Formation energy without anion corrections ... -589 meV/atom
DFT total energy ... -64.891 eV per cell

abc: 6.480 6.842 10.462
angles: 87.69 90.00 90.00
Each line ends with the local moment (μB).
Fractional positions:
Tc: 0.500 0.500 0.000  2.23
Tc: 0.000 0.000 0.500  2.23
Ag: 0.503 0.991 0.212  0.04
Ag: 0.003 0.509 0.288  0.04
Ag: 0.997 0.491 0.712  0.04
Ag: 0.497 0.009 0.788  0.04
Cl: 0.127 0.110 0.700  0.04
Cl: 0.286 0.149 0.395  0.06
Cl: 0.315 0.202 0.028  0.05
Cl: 0.815 0.298 0.472  0.05
Cl: 0.786 0.351 0.105  0.06
Cl: 0.627 0.390 0.800  0.04
Cl: 0.873 0.890 0.300  0.04
Cl: 0.714 0.851 0.605  0.06
Cl: 0.685 0.798 0.972  0.05
Cl: 0.185 0.702 0.528  0.05
Cl: 0.214 0.649 0.895  0.06
Cl: 0.373 0.610 0.200  0.04

---

No. 11
Material: Sr2AcBe2O6
Method: DFT, PBE-GGA
State: relaxed

Values from the calculation:
Formation energy without anion corrections ... -2562 meV/atom
DFT total energy ... -72.856 eV per cell

abc: 5.772 5.772 6.327
angles: 90.00 90.00 120.00
Each line ends with the local moment (μB).
Fractional positions:
Sr: 0.667 0.333 0.630  0.00
Sr: 0.333 0.667 0.370  0.00
Ac: 0.000 0.000 0.000  0.02
Be: 0.333 0.667 0.800  -0.01
Be: 0.667 0.333 0.200  -0.01
O: 0.082 0.390 0.767  0.14
O: 0.610 0.692 0.767  0.14
O: 0.308 0.918 0.767  0.14
O: 0.918 0.610 0.233  0.14
O: 0.390 0.308 0.233  0.14
O: 0.692 0.082 0.233  0.14

---

No. 12
Material: CeSm3Dy6Er2
Method: DFT, PBE-GGA
State: relaxed

Values from the calculation:
DFT total energy ... -56.417 eV per cell
Energy relative to the elements ... 3.32 kJ/mol of atoms

abc: 6.163 6.163 11.787
angles: 95.00 95.00 119.98
Each line ends with the local moment (μB).
Fractional positions:
Ce: 0.000 0.000 0.000  0.76
Sm: 0.168 0.832 0.500  -0.01
Sm: 0.832 0.168 0.500  -0.01
Sm: 0.500 0.500 0.500  -0.01
Dy: 0.917 0.586 0.753  0.02
Dy: 0.751 0.751 0.247  0.02
Dy: 0.083 0.414 0.247  0.02
Dy: 0.586 0.917 0.753  0.02
Dy: 0.249 0.249 0.753  0.02
Dy: 0.414 0.083 0.247  0.02
Er: 0.333 0.667 0.000  0.05
Er: 0.667 0.333 0.000  0.05